DFT (PBE) results for crystalline La2Tb4Hg at its relaxed geometry.

Output
- ρ: 8.1 g cm⁻³
- Magnetization: 0.00 Bohr magnetons per cell
- Density of states at the Fermi level: 1.46 states/eV/atom
- Energy of formation: -0.04 eV per atom

Cell lengths 17.4029, 3.6744, 8.0436 Å; angles 90.00, 117.35, 90.00 degrees
With the nearest neighbours (Å) after each atom.
Space group C2/m (No. 12)
Asymmetric unit:
La (0.2193, 0.0000, 0.1432) x4  1 Hg 3.44, 4 La 3.48-3.67, 6 Tb 3.50-3.64
Tb (0.0587, 0.5000, 0.7431) x4  2 Hg 3.26, 5 Tb 3.48-3.60, 3 La 3.54-3.64
Tb (0.1332, 0.0000, 0.4598) x4  1 Hg 3.34, 6 Tb 3.49-3.67, 3 La 3.50-3.55
Hg (0.0000, 0.0000, 0.0000) x2  6 Tb 3.26-3.34, 2 La 3.44

DFT (PBE) results for crystalline YCu2Se at its relaxed geometry.

Output
- ρ: 6.4 g cm⁻³
- Magnetization: 0.00 Bohr magnetons per cell
- Energy relative to the elements, uncorrected: -190 kJ/mol of formula units
- Density of states at the Fermi level: 0.36 states/eV/atom

Cell lengths 3.5879, 3.6087, 6.1445 Å; angles 90.00, 106.48, 90.00 degrees
With the nearest neighbours (Å) after each atom.
Space group Pm (No. 6)
Asymmetric unit:
Y (0.0000, 0.0000, 0.0000) x1  1 Cu 2.76, 4 Se 2.82
Cu (0.2348, 0.0000, 0.4684) x1  2 Se 2.63, 4 Cu 2.65, 1 Y 2.76
Cu (0.6739, 0.5000, 0.3443) x1  4 Cu 2.65
Se (0.3988, 0.5000, 0.7922) x1  2 Cu 2.63, 4 Y 2.82

DFT (PBE) results for crystalline Rb5Pb3F12 at its relaxed geometry.

Output
- ρ: 4.8 g cm⁻³
- Magnetization: 0.46 Bohr magnetons per cell
- Energy relative to the elements, uncorrected: -4482 kJ/mol of formula units
- Density of states at the Fermi level: 0.60 states/eV/atom

Cell lengths 15.2500, 15.2500, 15.2500 Å; angles 90.00, 90.00, 90.00 degrees
With the nearest neighbours (Å) after each atom.
Space group Ia-3d (No. 230)
Asymmetric unit:
Rb (0.0000, 0.0000, 0.0000) x16  6 F 2.76
Rb (0.0000, 0.2500, 0.3750) x24  4 F 2.63
Pb (0.0000, 0.2500, 0.1250) x24  4 F 2.41
F (0.0203, 0.0958, 0.6520) x96  1 Pb 2.41, 1 Rb 2.63

DFT (PBE) results for crystalline Pr3Dy2Er6Sc at its relaxed geometry.

Output
- ρ: 7.9 g cm⁻³
- Magnetization: 0.00 Bohr magnetons per cell
- Density of states at the Fermi level: 1.38 states/eV/atom
- Energy of formation: 0.03 eV per atom

Cell lengths 6.1510, 10.6504, 11.7124 Å; angles 90.00, 100.07, 90.00 degrees
With the nearest neighbours (Å) after each atom.
Space group C2/m (No. 12)
Asymmetric unit:
Pr (0.0000, 0.0000, 0.0000) x2  6 Pr 3.55, 6 Er 3.60-3.61
Pr (0.0000, 0.3334, 0.0000) x4  6 Pr 3.55, 6 Er 3.60-3.61
Dy (0.0000, 0.1664, 0.5000) x4  6 Er 3.48, 3 Dy 3.54-3.55, 3 Sc 3.55
Er (0.2457, 0.3346, 0.7431) x8  1 Sc 3.46, 2 Dy 3.48, 6 Er 3.52-3.56, 3 Pr 3.60-3.61
Er (0.2495, 0.0000, 0.7432) x4  1 Sc 3.47, 2 Dy 3.48, 6 Er 3.52-3.56, 3 Pr 3.60-3.61
Sc (0.0000, 0.5000, 0.5000) x2  6 Er 3.46-3.47, 6 Dy 3.55

DFT (PBE) results for crystalline NaBOs2O at its relaxed geometry.

Output
- ρ: 9.2 g cm⁻³
- Magnetization: 4.40 Bohr magnetons per cell
- Energy relative to the elements, uncorrected: 1471 kJ/mol of formula units
- Density of states at the Fermi level: 0.98 states/eV/atom

Cell lengths 4.6320, 4.6320, 3.6088 Å; angles 90.00, 90.00, 90.00 degrees
With the nearest neighbours (Å) after each atom.
Space group P4/mmm (No. 123)
Asymmetric unit:
Na (0.0000, 0.0000, 0.0000) x1  2 O 1.80
B (0.5000, 0.5000, 0.5000) x1  8 Os 2.94, 4 O 3.28
Os (0.0000, 0.5000, 0.0000) x2  2 Na 2.32
O (0.0000, 0.0000, 0.5000) x1  2 Na 1.80

DFT (PBE) results for crystalline Na3Er3TaSe8 at its relaxed geometry.

Output
- ρ: 5.8 g cm⁻³
- Magnetization: 3.05 Bohr magnetons per cell
- Energy relative to the elements, uncorrected: -2111 kJ/mol of formula units
- Density of states at the Fermi level: 0.26 states/eV/atom

Cell lengths 8.0197, 8.0197, 21.3891 Å; angles 90.00, 90.00, 120.00 degrees
With the nearest neighbours (Å) after each atom.
Space group R-3m (No. 166, hexagonal axes)
Asymmetric unit:
Na (0.0000, 0.5000, 0.0000) x9  6 Se 3.01-3.02
Er (0.0000, 0.5000, 0.5000) x9  6 Se 2.84-2.85
Ta (0.0000, 0.0000, 0.5000) x3  6 Se 2.67
Se (0.0000, 0.0000, 0.2432) x6  3 Er 2.84, 3 Na 3.01
Se (0.0202, 0.5101, 0.2390) x18  1 Ta 2.67, 2 Er 2.85

DFT (PBE) results for crystalline LiInNi at its relaxed geometry.

Output
- ρ: 6.6 g cm⁻³
- Magnetization: 0.00 Bohr magnetons per cell
- Density of states at the Fermi level: 0.49 states/eV/atom
- Energy of formation: -0.13 eV per atom

Cell lengths 3.1511, 3.3236, 8.6212 Å; angles 90.00, 90.00, 90.00 degrees
With the nearest neighbours (Å) after each atom.
Space group Imm2 (No. 44)
Asymmetric unit:
Li (0.0000, 0.0000, 0.0000) x2  4 Ni 2.61, 5 In 2.71-2.80
In (0.0000, 0.0000, 0.6860) x2  5 Li 2.71-2.80, 5 Ni 2.71-2.86
Ni (0.0000, 0.0000, 0.3541) x2  4 Li 2.61, 5 In 2.71-2.86

DFT (PBE) results for crystalline TlV2SiP at its relaxed geometry.

Output
- ρ: 5.1 g cm⁻³
- Magnetization: 5.38 Bohr magnetons per cell
- Energy relative to the elements, uncorrected: 935 kJ/mol of formula units
- Density of states at the Fermi level: 1.45 states/eV/atom

Cell lengths 4.9833, 4.9833, 4.7535 Å; angles 90.00, 90.00, 90.00 degrees
With the nearest neighbours (Å) after each atom.
Space group P4/mmm (No. 123)
Asymmetric unit:
Tl (0.0000, 0.0000, 0.0000) x1  2 P 2.38, 4 V 2.49
V (0.0000, 0.5000, 0.0000) x2  2 Tl 2.49
Si (0.5000, 0.5000, 0.5000) x1  8 V 3.44, 4 P 3.52
P (0.0000, 0.0000, 0.5000) x1  2 Tl 2.38

DFT (PBE) results for crystalline PuZnTc at its relaxed geometry.

Output
- ρ: 12.5 g cm⁻³
- Magnetization: 4.81 Bohr magnetons per cell
- Polymorph energy (0 for the lowest one): 0.222 eV per atom
- Density of states at the Fermi level: 2.46 states/eV/atom
- Energy of formation: 0.16 eV per atom

Cell lengths 4.8271, 4.8271, 2.6796 Å; angles 90.00, 90.00, 120.00 degrees
With the nearest neighbours (Å) after each atom.
Space group P-6m2 (No. 187)
Asymmetric unit:
Pu (0.0000, 0.0000, 0.0000) x1  2 Pu 2.68
Zn (0.3333, 0.6667, 0.5000) x1  2 Zn 2.68, 3 Tc 2.79
Tc (0.6667, 0.3333, 0.5000) x1  2 Tc 2.68, 3 Zn 2.79

DFT (PBE) results for crystalline LaSmTl at its relaxed geometry.

Output
- ρ: 8.5 g cm⁻³
- Magnetization: 0.00 Bohr magnetons per cell
- Polymorph energy (0 for the lowest one): 0.087 eV per atom
- Density of states at the Fermi level: 0.74 states/eV/atom
- Energy of formation: -0.19 eV per atom

Cell lengths 5.3734, 5.3734, 3.8602 Å; angles 90.00, 90.00, 120.00 degrees
With the nearest neighbours (Å) after each atom.
Space group P3m1 (No. 156)
Asymmetric unit:
La (0.0000, 0.0000, 0.0000) x1  3 Tl 3.44, 6 Sm 3.53-3.79
Sm (0.6667, 0.3333, 0.5652) x1  3 Tl 3.18, 3 La 3.53
Tl (0.3333, 0.6667, 0.3854) x1  3 Sm 3.18, 3 La 3.44

DFT (PBE) results for crystalline MgSnRu2 at its relaxed geometry.

Output
- ρ: 7.9 g cm⁻³
- Magnetization: 7.69 Bohr magnetons per cell
- Density of states at the Fermi level: 1.03 states/eV/atom
- Energy of formation: 0.54 eV per atom

Cell lengths 7.1646, 7.1646, 5.6840 Å; angles 90.00, 90.00, 90.00 degrees
With the nearest neighbours (Å) after each atom.
Space group I-42d (No. 122)
Asymmetric unit:
Mg (0.0000, 0.0000, 0.0000) x4  4 Ru 2.66, 2 Sn 2.84
Sn (0.0000, 0.0000, 0.5000) x4  4 Ru 2.60, 2 Mg 2.84
Ru (0.2443, 0.2500, 0.6250) x8  2 Sn 2.60, 2 Mg 2.66, 2 Ru 2.84

DFT (PBE) results for crystalline Ho7TmMg2 at its relaxed geometry.

Output
- ρ: 6.2 g cm⁻³
- Magnetization: 0.00 Bohr magnetons per cell
- Density of states at the Fermi level: 1.63 states/eV/atom
- Energy of formation: 0.58 eV per atom

Cell lengths 8.7538, 16.3321, 5.1667 Å; angles 90.00, 90.00, 90.00 degrees
With the nearest neighbours (Å) after each atom.
Space group Cmmm (No. 65)
Asymmetric unit:
Ho (0.0000, 0.0000, 0.0000) x2  2 Mg 3.27, 4 Ho 3.33
Ho (0.0000, 0.2923, 0.5000) x4  2 Mg 2.99
Ho (0.1816, 0.3884, 0.0000) x8  2 Mg 3.14-3.46, 4 Ho 3.18-3.42
Tm (0.0000, 0.5000, 0.5000) x2  10 Ho 3.39-3.54
Mg (0.0000, 0.2001, 0.0000) x4  5 Ho 2.99-3.27